The following is a PBE-GGA calculation of crystalline YScOs2Pb at its relaxed geometry, from Alexandria via LeMat-Bulk.

**Theoretical density**: 9.557 Mg/m³
**E**: -0.2463 Ha/atom
**Formation energy from the elements**: 1090 meV per atom

Unit cell a=4.8882 b=4.8882 c=5.2468 alpha=90.00 beta=90.00 gamma=90.00
Last column: nearest neighbours and their distance in Å.
Space group P4/mmm (No. 123)
Inequivalent atoms, fractional coordinates:
Y1 0.0000 0.0000 0.0000 x1  4 Pb 3.46, 8 Os 3.59
Sc1 0.5000 0.5000 0.5000 x1  4 Os 2.44, 2 Pb 2.62
Os1 0.0000 0.5000 0.5000 x2  2 Sc 2.44
Pb1 0.5000 0.5000 0.0000 x1  2 Sc 2.62